# 1
Material: RbZrTl
Method: DFT, PBE-GGA
State: optimized geometry

Properties
The calculation puts the relative energy among the computed polymorphs at 218 meV/atom. Its density of states at the Fermi level is 0.23 states/eV per atom. As for the formation energy from the elements: 0.28 eV/atom. The calculation puts the density at 6.129 g/cm3.

a b c (Å): 3.3204 6.6740 9.6115
angles (deg): 88.43 86.95 76.16
Space group P1 (No. 1)
Symmetry-distinct sites (fractional):
Rb 0.0000 0.0000 0.0000 x1
Rb 0.1737 0.5091 0.7415 x1
Zr 0.2732 0.3363 0.3678 x1
Zr 0.5986 0.7324 0.3841 x1
Tl 0.6403 0.5154 0.1101 x1
Tl 0.9049 0.0364 0.5637 x1



# 2
Material: Fe4Ni2Rh
Method: DFT, PBE-GGA
State: optimized geometry

Properties
Its density of states at the Fermi level is 0.77 states/eV per atom. As for the formation energy from the elements: 0.17 eV/atom. The calculation puts the density at 8.372 g/cm3.

a b c (Å): 7.9542 8.1568 2.7127
angles (deg): 90.00 90.00 90.00
Space group Cmmm (No. 65)
Symmetry-distinct sites (fractional):
Fe 0.2058 0.0000 0.0000 x4
Fe 0.2500 0.2500 0.5000 x4
Ni 0.0000 0.2277 0.0000 x4
Rh 0.0000 0.5000 0.5000 x2



# 3
Material: Sb2SeBr2
Method: DFT, PBE-GGA
State: optimized geometry

Properties
As for the formation energy (no corrections): -5 kJ per mole of atoms. Its density of states at the Fermi level is 0.36 states/eV per atom. The calculation puts the density at 5.822 g/cm3.

a b c (Å): 7.4567 7.4567 4.9482
angles (deg): 90.00 90.00 90.00
Space group P4/mbm (No. 127)
Symmetry-distinct sites (fractional):
Sb 0.1479 0.3521 0.0000 x4
Se 0.0000 0.0000 0.0000 x2
Br 0.1730 0.6730 0.5000 x4